1.
A geometry-optimized CsAlPb2 structure, computed with PBE-GGA.

Cell and atoms, written as POSCAR:
```
CsAlPb2
1.0
3.924 0.000 0.000
0.000 3.924 0.000
0.000 0.000 8.747
Cs Al Pb
1 1 2
Direct
0.000 0.000 0.000
0.000 0.000 0.500
0.500 0.500 0.325
0.500 0.500 0.675
```

Properties
ΔE_f = 0.014 eV/atom
DFT total energy = -2.99 eV per atom
magnetic moment = 0.0 μB per formula unit

***

2.
A geometry-optimized Cs2AlPb structure, computed with PBE-GGA.

Cell and atoms, written as POSCAR:
```
Cs2AlPb
1.0
0.000 4.517 4.517
4.517 0.000 4.517
4.517 4.517 0.000
Cs Al Pb
2 1 1
Direct
0.250 0.250 0.250
0.750 0.750 0.750
0.000 0.000 0.000
0.500 0.500 0.500
```

Properties
ΔE_f = 0.416 eV/atom
offset from the most stable computed form = 281.2 meV per atom
DFT total energy = -1.87 eV per atom
magnetic moment = 0.0 μB per formula unit

***

3.
A geometry-optimized CsAl3Pb structure, computed with PBE-GGA.

Cell and atoms, written as POSCAR:
```
CsAl3Pb
1.0
5.824 0.000 0.000
0.000 5.824 0.000
0.000 0.000 5.824
Cs Al Pb
1 3 1
Direct
0.000 0.000 0.000
0.000 0.000 0.500
0.000 0.500 0.000
0.500 0.000 0.000
0.500 0.500 0.500
```

Properties
ΔE_f = 1.555 eV/atom
offset from the most stable computed form = 849.0 meV per atom
DFT total energy = -1.60 eV per atom
magnetic moment = 0.0 μB per formula unit

***

4.
A geometry-optimized Cs2AlPb structure, computed with PBE-GGA.

Cell and atoms, written as POSCAR:
```
Cs2AlPb
1.0
-7.196 7.196 2.639
7.196 -7.196 2.639
7.196 7.196 -2.639
Cs Al Pb
4 2 2
Direct
0.375 0.184 0.309
0.816 0.125 0.191
0.875 0.066 0.691
0.934 0.625 0.809
0.000 0.000 0.000
0.750 0.250 0.500
0.250 0.750 0.500
0.500 0.500 0.000
```

Properties
ΔE_f = 0.135 eV/atom
offset from the most stable computed form = 0.0 meV per atom
DFT total energy = -2.15 eV per atom
magnetic moment = 0.0 μB per formula unit

***

> Which value of ΔE_f does entry 4 give?

0.135 eV/atom

***

> Which of these has the highest ΔE_f?

CsAl3Pb

***

> What is the formula in the second record?

Cs2AlPb

***

> magnetic moment of number 2 (Cs2AlPb)?

0.0 μB per formula unit